[1]
Nb10C7 after structural relaxation. Source: Alexandria, functional GGA-PBE.

abc: 8.3370 8.3370 5.5088
angles: 96.38 96.38 141.46
Closest atoms and distances in Å follow each position.
Fractional positions:
Nb 0.0607 0.4524 0.2310  4 C 2.14-2.26
Nb 0.1470 0.3514 0.7408  4 C 2.21-2.29
Nb 0.2360 0.2360 0.2642  5 C 2.12-2.25
Nb 0.3514 0.1470 0.7408  4 C 2.21-2.29
Nb 0.4524 0.0607 0.2310  4 C 2.14-2.26
Nb 0.5476 0.9393 0.7690  4 C 2.14-2.26
Nb 0.6486 0.8530 0.2592  4 C 2.21-2.29
Nb 0.7640 0.7640 0.7358  5 C 2.12-2.25
Nb 0.8530 0.6486 0.2592  4 C 2.21-2.29
Nb 0.9393 0.5476 0.7690  4 C 2.14-2.26
C 0.0000 0.0000 0.5000  6 Nb 2.12-2.24
C 0.1011 0.8989 0.0000  6 Nb 2.15-2.29
C 0.3003 0.6997 0.0000  6 Nb 2.14-2.26
C 0.3992 0.6008 0.5000  6 Nb 2.21-2.25
C 0.6008 0.3992 0.5000  6 Nb 2.21-2.25
C 0.6997 0.3003 0.0000  6 Nb 2.14-2.26
C 0.8989 0.1011 0.0000  6 Nb 2.15-2.29

Calculated values
**Formation energy**: -8.5 eV per formula unit
**Symmetry**: C2/m

---

[2]
AcGa4Ag after structural relaxation. Source: Alexandria, functional GGA-PBE.

abc: 8.1401 15.9702 4.1278
angles: 90.00 90.00 90.00
Closest atoms and distances in Å follow each position.
Fractional positions:
Ac 0.1276 0.1519 0.0000  14 Ga 3.38-3.63
Ac 0.3724 0.6519 0.0000  14 Ga 3.38-3.63
Ac 0.6276 0.3481 0.0000  14 Ga 3.38-3.63
Ac 0.8724 0.8481 0.0000  14 Ga 3.38-3.63
Ga 0.0200 0.6951 0.5000  3 Ga 2.45-2.50
Ga 0.1136 0.5491 0.5000  3 Ga 2.43-2.45
Ga 0.1342 0.9649 0.5000  3 Ga 2.45-2.51
Ga 0.2128 0.8131 0.5000  3 Ga 2.45-2.51
Ga 0.2872 0.3131 0.5000  3 Ga 2.45-2.51
Ga 0.3658 0.4649 0.5000  3 Ga 2.45-2.51
Ga 0.3864 0.0491 0.5000  3 Ga 2.43-2.45
Ga 0.4800 0.1951 0.5000  3 Ga 2.45-2.50
Ga 0.5200 0.8049 0.5000  3 Ga 2.45-2.50
Ga 0.6136 0.9509 0.5000  3 Ga 2.43-2.45
Ga 0.6342 0.5351 0.5000  3 Ga 2.45-2.51
Ga 0.7128 0.6869 0.5000  3 Ga 2.45-2.51
Ga 0.7872 0.1869 0.5000  3 Ga 2.45-2.51
Ga 0.8658 0.0351 0.5000  3 Ga 2.45-2.51
Ga 0.8864 0.4509 0.5000  3 Ga 2.43-2.45
Ga 0.9800 0.3049 0.5000  3 Ga 2.45-2.50
Ag 0.1360 0.4063 0.0000  10 Ga 2.83-3.08
Ag 0.3640 0.9063 0.0000  10 Ga 2.83-3.08
Ag 0.6360 0.0937 0.0000  10 Ga 2.83-3.08
Ag 0.8640 0.5937 0.0000  10 Ga 2.83-3.08

Calculated values
**Formation energy**: -1.8 eV per formula unit
**Distance to the lowest polymorph of the same formula**: 0.000 eV per atom
**Symmetry**: Pbam

---

[3]
Ti2NbRh2 after structural relaxation. Source: Alexandria, functional GGA-PBE.

abc: 7.4237 7.4237 2.9234
angles: 90.00 90.00 90.00
Closest atoms and distances in Å follow each position.
Fractional positions:
Ti 0.1633 0.3367 0.0000  6 Rh 2.58-2.66
Ti 0.3367 0.8367 0.0000  6 Rh 2.58-2.66
Ti 0.6633 0.1633 0.0000  6 Rh 2.58-2.66
Ti 0.8367 0.6633 0.0000  6 Rh 2.58-2.66
Nb 0.0000 0.0000 0.5000  4 Rh 2.89, 2 Nb 2.92, 8 Ti 3.14
Nb 0.5000 0.5000 0.5000  4 Rh 2.89, 2 Nb 2.92, 8 Ti 3.14
Rh 0.1339 0.6339 0.5000  6 Ti 2.58-2.66, 1 Rh 2.81
Rh 0.3661 0.1339 0.5000  6 Ti 2.58-2.66, 1 Rh 2.81
Rh 0.6339 0.8661 0.5000  6 Ti 2.58-2.66, 1 Rh 2.81
Rh 0.8661 0.3661 0.5000  6 Ti 2.58-2.66, 1 Rh 2.81

Calculated values
**Formation energy**: -2.3 eV per formula unit
**Distance to the lowest polymorph of the same formula**: 0.012 eV per atom
**Symmetry**: P4/mbm

---

[4]
TaTl2Rh after structural relaxation. Source: Alexandria, functional GGA-PBE.

abc: 4.7986 4.7986 4.7986
angles: 60.00 60.00 60.00
Closest atoms and distances in Å follow each position.
Fractional positions:
Ta 0.0000 0.0000 0.0000  8 Tl 2.94
Tl 0.2500 0.2500 0.2500  4 Ta 2.94, 4 Rh 2.94
Tl 0.7500 0.7500 0.7500  4 Ta 2.94, 4 Rh 2.94
Rh 0.5000 0.5000 0.5000  8 Tl 2.94

Calculated values
**Formation energy**: 2.4 eV per formula unit
**Distance to the lowest polymorph of the same formula**: 0.505 eV per atom
**Symmetry**: Fm-3m

---

[5]
PmAl3Zn after structural relaxation. Source: Alexandria, functional GGA-PBE.

abc: 4.2173 4.2173 6.2780
angles: 109.50 109.50 89.95
Closest atoms and distances in Å follow each position.
Fractional positions:
Pm 0.0000 0.0000 0.0000  12 Al 3.21-3.52, 4 Zn 3.23-3.24
Al 0.2452 0.7471 0.4924  2 Zn 2.58, 2 Al 2.65-2.66
Al 0.3920 0.3920 0.7840  1 Zn 2.44, 4 Al 2.65-2.66
Al 0.7471 0.2452 0.4924  2 Zn 2.58, 2 Al 2.65-2.66
Zn 0.6123 0.6123 0.2249  5 Al 2.44-2.58

Calculated values
**Formation energy**: -1.9 eV per formula unit
**Symmetry**: Cm

---

[6]
Ce2PmRh after structural relaxation. Source: Alexandria, functional GGA-PBE.

abc: 9.4041 9.4041 9.4041
angles: 23.52 23.52 23.52
Closest atoms and distances in Å follow each position.
Fractional positions:
Ce 0.0000 0.0000 0.0000  3 Rh 2.80
Ce 0.2086 0.2086 0.2086  3 Rh 2.79
Pm 0.7713 0.7713 0.7713  6 Ce 3.61-3.62, 6 Pm 3.83
Rh 0.6042 0.6042 0.6042  6 Ce 2.79-2.80

Calculated values
**Formation energy**: -1.0 eV per formula unit
**Distance to the lowest polymorph of the same formula**: 0.120 eV per atom
**Symmetry**: R3m

---

[7]
CaMgCu3 after structural relaxation. Source: Alexandria, functional GGA-PBE.

abc: 5.0578 5.0578 10.3358
angles: 90.00 90.00 120.00
Closest atoms and distances in Å follow each position.
Fractional positions:
Ca 0.0000 0.0000 0.0000  6 Cu 2.98
Ca 0.0000 0.0000 0.5000  6 Cu 2.98
Mg 0.3333 0.6667 0.2500  6 Cu 2.53
Mg 0.6667 0.3333 0.7500  6 Cu 2.53
Cu 0.1691 0.3382 0.7500  4 Cu 2.49-2.57, 2 Mg 2.53
Cu 0.1691 0.8309 0.7500  4 Cu 2.49-2.57, 2 Mg 2.53
Cu 0.3382 0.1691 0.2500  4 Cu 2.49-2.57, 2 Mg 2.53
Cu 0.6618 0.8309 0.7500  4 Cu 2.49-2.57, 2 Mg 2.53
Cu 0.8309 0.1691 0.2500  4 Cu 2.49-2.57, 2 Mg 2.53
Cu 0.8309 0.6618 0.2500  4 Cu 2.49-2.57, 2 Mg 2.53

Calculated values
**Formation energy**: 0.5 eV per formula unit
**Distance to the lowest polymorph of the same formula**: 0.101 eV per atom
**Symmetry**: P6_3/mmc

---

[8]
InCu2IrO6 after structural relaxation. Source: Alexandria, functional GGA-PBE.

abc: 6.6906 6.6906 5.4865
angles: 95.19 95.19 87.11
Closest atoms and distances in Å follow each position.
Fractional positions:
In 0.0894 0.9106 0.7500  6 O 2.18-2.23
In 0.9106 0.0894 0.2500  6 O 2.18-2.23
Cu 0.2288 0.4156 0.6960  4 O 1.92-2.04
Cu 0.4156 0.2288 0.1960  4 O 1.92-2.04
Cu 0.5844 0.7712 0.8040  4 O 1.92-2.04
Cu 0.7712 0.5844 0.3040  4 O 1.92-2.04
Ir 0.2746 0.7254 0.2500  6 O 1.90-2.08
Ir 0.7254 0.2746 0.7500  6 O 1.90-2.08
O 0.0079 0.2148 0.6238  1 Cu 2.04, 1 Ir 2.08, 2 In 2.20-2.23
O 0.1503 0.6327 0.9266  1 Cu 1.92, 1 Ir 1.95
O 0.2148 0.0079 0.1238  1 Cu 2.04, 1 Ir 2.08, 2 In 2.20-2.23
O 0.2883 0.4634 0.3615  1 Ir 1.90, 2 Cu 1.94-1.97
O 0.3673 0.8497 0.5734  1 Cu 1.92, 1 Ir 1.95
O 0.4634 0.2883 0.8615  1 Ir 1.90, 2 Cu 1.94-1.97
O 0.5366 0.7117 0.1385  1 Ir 1.90, 2 Cu 1.94-1.97
O 0.6327 0.1503 0.4266  1 Cu 1.92, 1 Ir 1.95
O 0.7117 0.5366 0.6385  1 Ir 1.90, 2 Cu 1.94-1.97
O 0.7852 0.9921 0.8762  1 Cu 2.04, 1 Ir 2.08, 2 In 2.20-2.23
O 0.8497 0.3673 0.0734  1 Cu 1.92, 1 Ir 1.95
O 0.9921 0.7852 0.3762  1 Cu 2.04, 1 Ir 2.08, 2 In 2.20-2.23

Calculated values
**Raw total energy**: -5.769 eV/atom
**Symmetry**: C2/c

---

[9]
TbSm12Sc3 after structural relaxation. Source: Alexandria, functional GGA-PBE.

abc: 5.0284 5.0284 20.0601
angles: 90.00 90.00 90.00
Closest atoms and distances in Å follow each position.
Fractional positions:
Tb 0.0000 0.0000 0.0000  12 Sm 3.56-3.61
Sm 0.0000 0.5000 0.1288  2 Sc 3.53, 8 Sm 3.54-3.61, 2 Tb 3.61
Sm 0.0000 0.5000 0.3763  8 Sm 3.53-3.56, 4 Sc 3.53
Sm 0.0000 0.5000 0.6237  8 Sm 3.53-3.56, 4 Sc 3.53
Sm 0.0000 0.5000 0.8712  2 Sc 3.53, 8 Sm 3.54-3.61, 2 Tb 3.61
Sm 0.5000 0.0000 0.1288  2 Sc 3.53, 8 Sm 3.54-3.61, 2 Tb 3.61
Sm 0.5000 0.0000 0.3763  8 Sm 3.53-3.56, 4 Sc 3.53
Sm 0.5000 0.0000 0.6237  8 Sm 3.53-3.56, 4 Sc 3.53
Sm 0.5000 0.0000 0.8712  2 Sc 3.53, 8 Sm 3.54-3.61, 2 Tb 3.61
Sm 0.5000 0.5000 0.0000  4 Tb 3.56, 8 Sm 3.61
Sm 0.5000 0.5000 0.2529  8 Sm 3.53-3.54, 4 Sc 3.56
Sm 0.5000 0.5000 0.5000  8 Sm 3.53, 4 Sc 3.56
Sm 0.5000 0.5000 0.7471  8 Sm 3.53-3.54, 4 Sc 3.56
Sc 0.0000 0.0000 0.2525  12 Sm 3.53-3.56
Sc 0.0000 0.0000 0.5000  12 Sm 3.53-3.56
Sc 0.0000 0.0000 0.7475  12 Sm 3.53-3.56

Calculated values
**Formation energy**: 0.5 eV per formula unit
**Symmetry**: P4/mmm

---

[10]
NbSn2Br after structural relaxation. Source: Alexandria, functional GGA-PBE.

abc: 5.1555 5.1555 5.1555
angles: 60.00 60.00 60.00
Closest atoms and distances in Å follow each position.
Fractional positions:
Nb 0.0000 0.0000 0.0000  8 Sn 3.16
Sn 0.2500 0.2500 0.2500  4 Nb 3.16, 4 Br 3.16
Sn 0.7500 0.7500 0.7500  4 Br 3.16, 4 Nb 3.16
Br 0.5000 0.5000 0.5000  8 Sn 3.16

Calculated values
**Distance to the lowest polymorph of the same formula**: 0.000 eV per atom
**Symmetry**: Fm-3m

---

[11]
Ce2Bi after structural relaxation. Source: Alexandria, functional GGA-PBE.

abc: 5.6744 5.6744 5.6744
angles: 135.23 135.23 65.17
Closest atoms and distances in Å follow each position.
Fractional positions:
Ce 0.1391 0.1391 0.0000  1 Ce 2.66
Ce 0.8609 0.8609 0.0000  1 Ce 2.66
Bi 0.5000 0.5000 0.0000  10 Ce 3.33-3.45

Calculated values
**Formation energy**: -1.5 eV per formula unit
**Symmetry**: I4/mmm

---

Table of total magnetization (Bohr magnetons per cell), in record order: 0.000, 0.000, 0.000, 0.450, 0.000, 0.007, 0.000, 0.000, 0.000, 1.639, 1.441